A geometry-optimized Ca2TaCoO6 structure, computed with PBEsol.

```
20
Lattice="5.2972 0.0189 0.0000 -0.0366 5.3978 0.0000 0.0000 0.0000 7.7039" Properties=species:S:1:pos:R:3 pbc="T T T"
Ca 0.0800 0.1806 1.9260
Ca 2.5857 3.0370 1.9260
Ca 2.6750 2.3797 5.7779
Ca 5.1807 5.2360 5.7779
Ta -0.0183 2.6989 0.0000
Ta -0.0183 2.6989 3.8519
Co 2.6486 0.0094 0.0000
Co 2.6486 0.0094 3.8519
O 4.1483 1.1427 4.1602
O 1.5464 1.5449 3.5490
O 1.1123 4.2739 3.5437
O 3.7143 3.8718 7.4009
O 0.3967 2.8023 5.7779
O 3.7143 3.8718 4.1549
O 1.5464 1.5449 0.3029
O 4.1483 1.1427 7.3956
O 3.1026 5.2742 1.9260
O 1.1123 4.2739 0.3082
O 2.1580 0.1424 5.7779
O 4.8640 2.6143 1.9260
```

Output
raw formation energy: -2.54 eV per atom
space-group type: No. 11

---

A geometry-optimized Ca2Ta2CoO8 structure, computed with PBEsol.

```
26
Lattice="-4.2165 -0.9187 3.1651 -0.8935 -5.5372 -2.7975 6.1999 -1.2255 7.4670" Properties=species:S:1:pos:R:3 pbc="T T T"
Ca 2.1348 -3.5863 3.8620
Ca 0.7383 -5.6505 1.3722
Ca -1.0448 -4.0952 3.9726
Ca 0.3516 -2.0310 6.4624
Ta 0.0432 -1.9311 1.7378
Ta 3.7850 -1.3867 6.4867
Ta 1.0468 -5.7504 6.0967
Ta -2.6950 -6.2948 1.3478
Co -1.6002 -3.6138 -0.9185
Co -3.5098 -2.8421 1.2860
O -1.8467 -1.8157 2.3554
O 1.4893 -2.2297 9.1308
O 2.9367 -5.8658 5.4791
O -0.3993 -5.4518 -1.2963
O -0.0097 -2.4704 -0.0738
O 3.4694 -3.1312 7.1445
O 1.0996 -5.2111 7.9083
O -2.3794 -4.5502 0.6901
O 2.0327 -1.7415 2.0515
O 1.0705 -6.0692 3.9031
O 0.0195 -1.6123 3.9314
O -0.9428 -5.9399 5.7831
O -1.9887 -5.8461 3.0662
O 0.7008 -3.9656 5.5067
O 3.0786 -1.8354 4.7683
O 0.3892 -3.7158 2.3279
```

Output
raw formation energy: -2.57 eV per atom
space-group type: No. 15

---

A geometry-optimized CaCoTc2O structure, computed with PBEsol.

```
5
Lattice="3.9605 0.0000 0.0000 0.0000 3.9605 0.0000 0.0000 0.0000 4.4417" Properties=species:S:1:pos:R:3 pbc="T T T"
Ca 0.0000 0.0000 2.2208
Co 1.9803 1.9803 2.2208
Tc 0.0000 1.9803 0.0000
Tc 1.9803 0.0000 0.0000
O 0.0000 0.0000 0.0000
```

Output
raw formation energy: 0.01 eV per atom
space-group type: No. 123

---

A geometry-optimized Ca3V3Co2O12 structure, computed with PBEsol.

```
80
Lattice="10.6415 0.0000 0.0000 -3.5472 10.0329 0.0000 -3.5472 -5.0164 8.6887" Properties=species:S:1:pos:R:3 pbc="T T T"
Ca 4.4340 8.1517 1.0861
Ca -0.8868 -3.1353 7.6026
Ca -0.8868 4.3894 3.2583
Ca 7.9811 1.8812 1.0861
Ca 2.6604 5.6435 3.2583
Ca 4.4340 0.6271 5.4305
Ca -4.4340 3.1353 7.6026
Ca 0.8868 -0.6271 5.4305
Ca 0.8868 5.0164 6.5166
Ca 2.6604 0.0000 2.1722
Ca 6.2075 5.0164 2.1722
Ca -2.6604 0.0000 6.5166
V 6.2075 -0.6271 3.2583
V -2.6604 5.6435 5.4305
V 0.8868 3.1353 1.0861
V 2.6604 -1.8812 7.6026
V 0.8868 6.8976 1.0861
V 2.6604 1.8812 7.6026
V 4.4340 4.3894 5.4305
V -0.8868 0.6271 3.2583
V -0.8868 2.5082 6.5166
V 4.4340 2.5082 2.1722
V -2.6604 7.5247 2.1722
V 6.2075 -2.5082 6.5166
Co 0.0000 0.0000 0.0000
Co 3.5472 -2.5082 4.3444
Co -3.5472 2.5082 4.3444
Co 1.7736 2.5082 4.3444
Co 3.5472 5.0164 0.0000
Co 5.3207 0.0000 0.0000
Co -1.7736 5.0164 0.0000
Co -1.7736 -2.5082 4.3444
O -0.5742 3.6263 7.8094
O 4.1213 1.3902 0.8793
O 0.0631 3.1757 5.2237
O -2.2360 5.8855 1.7820
O 6.5202 -0.0664 1.6436
O 1.7105 6.8572 5.2237
O 3.4841 1.8408 3.4651
O 5.7832 -0.8690 6.9068
O -2.9730 5.0828 7.0451
O 1.8367 -1.8408 3.4651
O 6.2942 7.3784 2.5624
O 3.6103 7.9524 3.3267
O 5.8949 -3.6263 7.8094
O -2.7471 -2.3619 6.1263
O -0.0631 -2.9360 5.3620
O -2.3477 8.6427 0.8793
O 1.3112 3.6169 2.7008
O 6.1208 2.6545 2.5624
O 2.2360 1.3995 5.9880
O -2.5737 2.3619 6.1263
O -0.8001 3.5464 1.0177
O 4.0096 4.1474 1.7820
O 4.3473 1.4701 7.6711
O -0.4624 0.8690 6.9068
O 2.9730 -3.5599 7.9244
O 0.4624 6.4160 2.7008
O 0.5742 8.5763 0.7643
O 3.0847 -1.3995 5.9880
O 4.8583 5.5469 4.2060
O 9.4421 0.0664 1.6436
O -1.3112 -0.5305 4.4827
O -5.8949 4.9500 7.0451
O 2.7471 4.1246 5.1087
O -1.8367 2.0804 3.3267
O 0.8001 0.8919 3.5801
O 5.3838 2.9360 5.3620
O 7.1574 3.9212 0.1384
O 2.5737 6.4865 1.0177
O -3.6103 1.0952 8.5504
O 0.9735 -1.4701 7.6711
O 5.2577 6.1117 0.1384
O -1.7105 -1.0952 8.5504
O 2.3477 3.5599 7.9244
O 1.1994 1.4566 0.7643
O -3.0847 4.4860 4.2060
O 6.6319 0.5305 4.4827
O -0.9735 5.9083 5.1087
O 4.5206 -0.8919 3.5801
```

Output
raw formation energy: -2.39 eV per atom
space-group type: No. 230

---

A geometry-optimized Ca2CoWO6 structure, computed with PBEsol.

```
20
Lattice="5.3240 0.0000 0.0018 0.0000 5.4601 0.0000 0.0471 0.0000 7.5411" Properties=species:S:1:pos:R:3 pbc="T T T"
Ca 2.6356 5.1876 5.6415
Ca 0.0970 2.4576 5.6711
Ca 2.7355 0.2725 1.9015
Ca 5.2741 3.0025 1.8718
Co 0.0000 0.0000 0.0000
Co 2.6856 2.7301 3.7715
W 0.0235 0.0000 3.7706
W 2.6620 2.7301 0.0009
O 1.0993 3.8843 4.0990
O 1.6333 1.1542 7.2136
O 4.2718 1.5758 3.4440
O 3.7378 4.3059 0.3293
O 3.7956 4.3454 3.4618
O 4.2140 1.6154 0.3115
O 1.5755 1.1147 4.0811
O 1.1571 3.8447 7.2315
O 3.1336 2.8440 5.6630
O 4.9231 0.1140 5.6515
O 0.4480 5.3461 1.8915
O 2.2375 2.6161 1.8800
```

Output
raw formation energy: -2.33 eV per atom
space-group type: No. 14

---

A geometry-optimized Ca2CoWO6 structure, computed with PBEsol.

```
10
Lattice="5.4191 0.0000 0.0000 2.7096 4.6931 0.0000 2.7096 1.5644 4.3281" Properties=species:S:1:pos:R:3 pbc="T T T"
Ca 8.1287 4.6931 3.0527
Ca 2.7096 1.5644 0.8185
Co 5.4191 3.1287 1.9306
W 2.7096 1.5644 4.0947
O 4.2445 4.2618 0.8518
O 5.0252 1.5449 0.8518
O 6.9877 3.5795 0.8518
O 6.5945 1.9948 3.0074
O 3.8494 2.6778 3.0074
O 5.8135 4.7136 3.0074
```

Output
raw formation energy: -2.31 eV per atom
space-group type: No. 146

---

Number 1: final energy -8.1409 eV per atom. Number 2: final energy -8.6499 eV per atom. Number 3: final energy -7.5199 eV per atom. Number 4: final energy -8.0828 eV per atom. Number 5: final energy -8.0604 eV per atom. Number 6: final energy -8.0427 eV per atom.